Material: LaAlZnIn2
Method: DFT, PBE
State: relaxed

Its crystal system is tetragonal.

The space group is P4/mmm (No. 123) and the conventional cell measures 5.140, 5.140 and 5.844 Å, with angles of 90.00, 90.00 and 90.00 degrees. Symmetry generates all atoms from La at (0.000, 0.000, 0.000), Al at (0.000, 0.000, 0.500), Zn at (0.500, 0.500, 0.000) and In at (0.000, 0.500, 0.500).

Material: La2AlZn4In3
Method: DFT, PBE
State: relaxed

Its crystal system is tetragonal.

The space group is P-4m2 (No. 115) and the conventional cell measures 4.485, 4.485 and 11.217 Å, with angles of 90.00, 90.00 and 90.00 degrees. Symmetry generates all atoms from La at (0.000, 0.500, 0.248), Al at (0.500, 0.500, 0.000), Zn at (0.000, 0.000, 0.500), Zn at (0.000, 0.500, 0.867), Zn at (0.500, 0.500, 0.500), In at (0.000, 0.000, 0.000) and In at (0.000, 0.500, 0.635).

Material: La2Al4Zn3In
Method: DFT, PBE
State: relaxed

Its crystal system is tetragonal.

The space group is P-4m2 (No. 115) and the conventional cell measures 4.346, 4.346 and 11.144 Å, with angles of 90.00, 90.00 and 90.00 degrees. Symmetry generates all atoms from La at (0.000, 0.500, 0.244), Al at (0.000, 0.000, 0.000), Al at (0.000, 0.500, 0.647), Al at (0.500, 0.500, 0.000), Zn at (0.000, 0.500, 0.870), Zn at (0.500, 0.500, 0.500) and In at (0.000, 0.000, 0.500).

Material: LaZrAlIn2
Method: DFT, PBE
State: relaxed

Its crystal system is tetragonal.

The space group is P4/mmm (No. 123) and the conventional cell measures 5.592, 5.592 and 5.462 Å, with angles of 90.00, 90.00 and 90.00 degrees. Symmetry generates all atoms from La at (0.000, 0.000, 0.000), Zr at (0.000, 0.000, 0.500), Al at (0.500, 0.500, 0.000) and In at (0.000, 0.500, 0.500).

Material: Li6Al2In
Method: DFT, PBE
State: relaxed

The distance to the lowest polymorph of the same formula is 10 meV/atom. Its crystal system is hexagonal.

The space group is P6/mmm (No. 191) and the conventional cell measures 7.9650, 7.9650 and 2.7736 Å, with angles of 90.00, 90.00 and 120.00 degrees. Symmetry generates all atoms from Li at (0.0000, 0.3378, 0.0000), Al at (0.3333, 0.6667, 0.5000) and In at (0.0000, 0.0000, 0.5000).

Material: Li2AlIn4
Method: DFT, PBE
State: relaxed

Its crystal system is orthorhombic.

The space group is Cmce (No. 64) and the conventional cell measures 12.195, 6.027 and 9.417 Å, with angles of 90.00, 90.00 and 90.00 degrees. Symmetry generates all atoms from Li at (0.129, 0.000, 0.000), Al at (0.000, 0.000, 0.500), In at (0.000, 0.249, 0.249) and In at (0.250, 0.249, 0.250).

Material: LiAlIn2
Method: DFT, PBE
State: relaxed

Its crystal system is monoclinic.

The space group is C2/m (No. 12) and the conventional cell measures 6.283, 8.653 and 3.133 Å, with angles of 90.00, 90.29 and 90.00 degrees. Symmetry generates all atoms from Li at (0.000, 0.000, 0.000), Al at (0.000, 0.500, 0.000) and In at (0.250, 0.250, 0.500).

Material: LiAlIn
Method: DFT, PBE
State: relaxed

The distance to the lowest polymorph of the same formula is 8 meV/atom. Its crystal system is monoclinic.

The space group is Pm (No. 6) and the conventional cell measures 4.899, 3.198 and 7.646 Å, with angles of 90.00, 105.92 and 90.00 degrees. Symmetry generates all atoms from Li at (0.000, 0.000, 0.000), Li at (0.276, 0.000, 0.650), Al at (0.464, 0.000, 0.327), Al at (0.980, 0.500, 0.322), In at (0.495, 0.500, 0.995) and In at (0.784, 0.500, 0.654).

Material: Li2Al2In
Method: DFT, PBE
State: relaxed

The distance to the lowest polymorph of the same formula is 0 meV/atom. Its crystal system is tetragonal.

The space group is P4/mbm (No. 127) and the conventional cell measures 7.877, 7.877 and 3.006 Å, with angles of 90.00, 90.00 and 90.00 degrees. Symmetry generates all atoms from Li at (0.180, 0.320, 0.000), Al at (0.118, 0.618, 0.500) and In at (0.000, 0.000, 0.500).

Material: Li14AlIn
Method: DFT, PBE
State: relaxed

Its crystal system is orthorhombic.

The space group is Amm2 (No. 38) and the conventional cell measures 9.690, 6.383 and 9.660 Å, with angles of 90.00, 90.00 and 90.00 degrees. Symmetry generates all atoms from Li at (0.000, 0.000, 0.000), Li at (0.000, 0.000, 0.500), Li at (0.000, 0.249, 0.247), Li at (0.256, 0.245, 0.449), Li at (0.260, 0.000, 0.699), Li at (0.264, 0.000, 0.199), Li at (0.500, 0.248, 0.690), Al at (0.500, 0.000, 0.439) and In at (0.500, 0.000, 0.940).

Material: LiAlIn2
Method: DFT, PBE
State: relaxed

Its crystal system is cubic.

The space group is F-43m (No. 216) and the conventional cell measures 7.073, 7.073 and 7.073 Å, with angles of 90.00, 90.00 and 90.00 degrees. Symmetry generates all atoms from Li at (0.000, 0.000, 0.000), Al at (0.250, 0.250, 0.250), In at (0.000, 0.000, 0.500) and In at (0.250, 0.250, 0.750).

Material: Li4AlIn
Method: DFT, PBE
State: relaxed

The distance to the lowest polymorph of the same formula is 177 meV/atom. Its crystal system is cubic.

The space group is F-43m (No. 216) and the conventional cell measures 7.458, 7.458 and 7.458 Å, with angles of 90.00, 90.00 and 90.00 degrees. Symmetry generates all atoms from Li at (0.125, 0.125, 0.125), Al at (0.250, 0.250, 0.750) and In at (0.000, 0.000, 0.500).

The following VASP energy values (in eV per cell) correspond, in order, to the records above: -14.12, -30.64, -35.45, -19.89, -23.34, -73.17, -22.63, -17.42, -28.62, -68.65, -44.10, -57.32.
The following V values (in Å³ per cell) correspond, in order, to the records above: 154.4, 225.7, 210.5, 170.8, 152.4, 692.2, 170.4, 115.2, 186.5, 597.4, 353.9, 414.8.
The following ΔH_f (0 K) values (in eV per atom) correspond, in order, to the records above: 0.259, -0.373, -0.406, 0.560, -0.181, 0.033, -0.045, -0.106, -0.052, -0.066, 0.027, -0.032.